(1)
Material: ErCo5
Method: DFT, PBE
State: relaxed

a = 4.896 Å, b = 4.896 Å, c = 3.943 Å
α = 90.00°, β = 90.00°, γ = 120.00°
Element x y z (fractional)
Er (0.000, 0.000, 0.000)
Co (0.333, 0.667, 0.000)
Co (0.667, 0.333, 0.000)
Co (0.500, 0.000, 0.500)
Co (0.500, 0.500, 0.500)
Co (0.000, 0.500, 0.500)

---

(2)
Material: Er3Co
Method: DFT, PBE
State: relaxed

a = 3.521 Å, b = 3.332 Å, c = 8.896 Å
α = 90.00°, β = 90.00°, γ = 90.00°
Element x y z (fractional)
Co (0.000, 0.000, 0.981)
Er (0.000, 0.500, 0.469)
Er (0.500, 0.500, 0.124)
Er (0.500, 0.000, 0.760)

---

(3)
Material: ErCo6
Method: DFT, PBE
State: relaxed

Output
Offset from the most stable computed form, eV/atom: 1.094

a = 5.262 Å, b = 5.262 Å, c = 5.262 Å
α = 90.00°, β = 90.00°, γ = 90.00°
Element x y z (fractional)
Er (0.000, 0.000, 0.000)
Co (0.195, 0.500, 0.500)
Co (0.500, 0.500, 0.805)
Co (0.500, 0.500, 0.195)
Co (0.500, 0.195, 0.500)
Co (0.500, 0.805, 0.500)
Co (0.805, 0.500, 0.500)

---

(4)
Material: ErCo6
Method: DFT, PBE
State: relaxed

Output
Offset from the most stable computed form, eV/atom: 0.000

a = 4.796 Å, b = 7.788 Å, c = 9.778 Å
α = 90.00°, β = 90.00°, γ = 90.00°
Element x y z (fractional)
Er (0.750, 0.239, 0.940)
Er (0.250, 0.761, 0.060)
Er (0.750, 0.739, 0.560)
Er (0.250, 0.261, 0.440)
Co (0.750, 0.591, 0.023)
Co (0.250, 0.409, 0.977)
Co (0.750, 0.091, 0.477)
Co (0.250, 0.909, 0.523)
Co (0.011, 0.431, 0.192)
Co (0.511, 0.569, 0.808)
Co (0.489, 0.931, 0.308)
Co (0.989, 0.069, 0.692)
Co (0.989, 0.569, 0.808)
Co (0.489, 0.431, 0.192)
Co (0.511, 0.069, 0.692)
Co (0.011, 0.931, 0.308)
Co (0.250, 0.140, 0.147)
Co (0.750, 0.860, 0.853)
Co (0.250, 0.640, 0.353)
Co (0.750, 0.360, 0.647)
Co (0.250, 0.816, 0.756)
Co (0.750, 0.184, 0.244)
Co (0.250, 0.316, 0.744)
Co (0.750, 0.684, 0.256)
Co (0.250, 0.565, 0.590)
Co (0.750, 0.435, 0.410)
Co (0.250, 0.065, 0.910)
Co (0.750, 0.935, 0.090)

---

(5)
Material: Er5Co2
Method: DFT, PBE
State: relaxed

a = 6.229 Å, b = 6.878 Å, c = 8.456 Å
α = 96.34°, β = 111.61°, γ = 90.00°
Element x y z (fractional)
Er (0.203, 0.413, 0.189)
Er (0.014, 0.087, 0.811)
Er (0.215, 0.685, 0.568)
Er (0.648, 0.815, 0.432)
Er (0.785, 0.315, 0.432)
Er (0.352, 0.185, 0.568)
Er (0.986, 0.913, 0.189)
Er (0.797, 0.587, 0.811)
Er (0.571, 0.250, 0.000)
Er (0.429, 0.750, 0.000)
Co (0.176, 0.428, 0.777)
Co (0.399, 0.072, 0.223)
Co (0.824, 0.572, 0.223)
Co (0.601, 0.928, 0.777)

---

(6)
Material: Er4Co
Method: DFT, PBE
State: relaxed

Output
Offset from the most stable computed form, eV/atom: 0.370

a = 7.392 Å, b = 7.392 Å, c = 7.392 Å
α = 60.00°, β = 60.00°, γ = 60.00°
Element x y z (fractional)
Er (0.886, 0.886, 0.886)
Er (0.342, 0.886, 0.886)
Er (0.886, 0.886, 0.342)
Er (0.908, 0.364, 0.364)
Er (0.364, 0.364, 0.364)
Er (0.886, 0.342, 0.886)
Er (0.364, 0.364, 0.908)
Er (0.364, 0.908, 0.364)
Co (0.500, 0.500, 0.500)
Co (0.750, 0.750, 0.750)

---

(7)
Material: ErCo5
Method: DFT, PBE
State: relaxed

a = 3.742 Å, b = 3.733 Å, c = 5.929 Å
α = 90.00°, β = 108.39°, γ = 90.00°
Element x y z (fractional)
Co (0.315, 0.000, 0.630)
Co (0.685, 0.000, 0.370)
Co (0.500, 0.500, 0.000)
Co (0.815, 0.500, 0.631)
Co (0.185, 0.500, 0.369)
Er (0.000, 0.000, 0.000)

---

(8)
Material: Er12Co7
Method: DFT, PBE
State: relaxed

a = 11.092 Å, b = 8.206 Å, c = 10.918 Å
α = 54.95°, β = 90.00°, γ = 90.00°
Element x y z (fractional)
Er (0.705, 0.236, 0.538)
Er (0.205, 0.764, 0.962)
Er (0.841, 0.504, 0.658)
Er (0.341, 0.496, 0.842)
Er (0.159, 0.496, 0.342)
Er (0.659, 0.504, 0.158)
Er (0.003, 0.844, 0.355)
Er (0.503, 0.156, 0.145)
Er (0.997, 0.156, 0.645)
Er (0.497, 0.844, 0.855)
Er (0.795, 0.236, 0.038)
Er (0.295, 0.764, 0.462)
Er (0.929, 0.769, 0.087)
Er (0.429, 0.231, 0.413)
Er (0.071, 0.231, 0.913)
Er (0.571, 0.769, 0.587)
Er (0.301, 0.248, 0.676)
Er (0.801, 0.752, 0.824)
Er (0.699, 0.752, 0.324)
Er (0.199, 0.248, 0.176)
Er (0.929, 0.266, 0.306)
Er (0.429, 0.734, 0.194)
Er (0.071, 0.734, 0.694)
Er (0.571, 0.266, 0.806)
Co (0.500, 0.500, 0.500)
Co (0.000, 0.500, 0.000)
Co (0.677, 0.910, 0.026)
Co (0.177, 0.090, 0.474)
Co (0.323, 0.090, 0.974)
Co (0.823, 0.910, 0.526)
Co (0.401, 0.494, 0.100)
Co (0.901, 0.506, 0.400)
Co (0.599, 0.506, 0.900)
Co (0.099, 0.494, 0.600)
Co (0.815, 0.101, 0.842)
Co (0.315, 0.899, 0.658)
Co (0.185, 0.899, 0.158)
Co (0.685, 0.101, 0.342)

---

(9)
Material: Er4Co
Method: DFT, PBE
State: relaxed

Output
Offset from the most stable computed form, eV/atom: 0.000

a = 7.109 Å, b = 7.109 Å, c = 7.296 Å
α = 104.41°, β = 104.41°, γ = 119.29°
Element x y z (fractional)
Er (0.678, 0.442, 0.665)
Er (0.777, 0.013, 0.335)
Er (0.769, 0.029, 0.836)
Er (0.193, 0.933, 0.164)
Er (0.279, 0.519, 0.336)
Er (0.183, 0.943, 0.664)
Er (0.263, 0.527, 0.835)
Er (0.692, 0.428, 0.165)
Co (0.235, 0.235, 0.000)
Co (0.485, 0.985, 0.500)

---

(10)
Material: Er3Co
Method: DFT, PBE
State: relaxed

a = 3.498 Å, b = 5.231 Å, c = 6.175 Å
α = 115.06°, β = 106.45°, γ = 90.00°
Element x y z (fractional)
Co (0.000, 0.915, 0.000)
Er (0.307, 0.725, 0.615)
Er (0.500, 0.418, 0.000)
Er (0.693, 0.110, 0.385)

---

(11)
Material: ErCo6
Method: DFT, PBE
State: relaxed

Output
Offset from the most stable computed form, eV/atom: 0.614

a = 5.204 Å, b = 5.204 Å, c = 5.204 Å
α = 109.47°, β = 109.47°, γ = 109.47°
Element x y z (fractional)
Er (0.000, 0.000, 0.000)
Co (0.250, 0.750, 0.500)
Co (0.500, 0.750, 0.250)
Co (0.250, 0.500, 0.750)
Co (0.750, 0.250, 0.500)
Co (0.500, 0.250, 0.750)
Co (0.750, 0.500, 0.250)

---

(12)
Material: EuErCo4
Method: DFT, PBE
State: relaxed

a = 5.102 Å, b = 5.102 Å, c = 5.102 Å
α = 60.00°, β = 60.00°, γ = 60.00°
Element x y z (fractional)
Eu (0.000, 0.000, 0.000)
Co (0.624, 0.624, 0.127)
Co (0.624, 0.127, 0.624)
Co (0.624, 0.624, 0.624)
Co (0.127, 0.624, 0.624)
Er (0.250, 0.250, 0.250)

---

How do the records compare in formation energy from the elements? In the order shown, they have -12.0, 12.2, 97.1, -8.5, -19.8, 28.6, 4.7, -20.7, -7.2, -9.2, 50.8, -7.2 kJ/mol of atoms.